The following is a SCAN calculation of a crystal of Y2Tl relaxed with PBEsol, from Alexandria via LeMat-Bulk.

abc: 6.729 5.001 9.827
angles: 90.00 90.00 90.00
Space group Pnma (No. 62)
Unique sites:
Y 0.048 0.250 0.205
Y 0.173 0.250 0.562
Tl 0.209 0.250 0.882

Properties
For the density of states at the Fermi level, the calculation gives 1.08 states/eV/atom. Its formation energy is -0.521 eV/atom. Its total magnetic moment is 0.0 μB/f.u. As for the crystal system: orthorhombic.

=====

The following is a SCAN calculation of a crystal of Y4Tl relaxed with PBEsol, from Alexandria via LeMat-Bulk.

abc: 7.713 7.713 4.691
angles: 90.00 90.00 90.00
Space group I4/m (No. 87)
Unique sites:
Y 0.107 0.298 0.000
Tl 0.000 0.000 0.500

Properties
For the density of states at the Fermi level, the calculation gives 1.32 states/eV/atom. Its formation energy is -0.190 eV/atom. Its total magnetic moment is 0.0 μB/f.u. As for the crystal system: tetragonal.

=====

The following is a SCAN calculation of a crystal of YTl5 relaxed with PBEsol, from Alexandria via LeMat-Bulk.

abc: 3.684 3.684 12.124
angles: 90.00 90.00 90.00
Space group P4/mmm (No. 123)
Unique sites:
Y 0.000 0.000 0.000
Tl 0.000 0.000 0.324
Tl 0.500 0.500 0.158
Tl 0.500 0.500 0.500

Properties
For the density of states at the Fermi level, the calculation gives 0.58 states/eV/atom. Its formation energy is -0.139 eV/atom. Its total magnetic moment is 0.0 μB/f.u. As for the crystal system: tetragonal.

=====

The following is a SCAN calculation of a crystal of Y2TlZn2 relaxed with PBEsol, from Alexandria via LeMat-Bulk.

abc: 7.199 7.199 4.257
angles: 90.00 90.00 90.00
Space group P4/mbm (No. 127)
Unique sites:
Y 0.172 0.328 0.000
Tl 0.000 0.000 0.500
Zn 0.122 0.622 0.500

Properties
For the density of states at the Fermi level, the calculation gives 0.72 states/eV/atom. Its formation energy is -0.509 eV/atom. Its total magnetic moment is 0.0 μB/f.u. As for the crystal system: tetragonal.

=====

The following is a SCAN calculation of a crystal of Y2TlZn relaxed with PBEsol, from Alexandria via LeMat-Bulk.

abc: 9.247 3.639 6.351
angles: 90.00 103.20 90.00
Space group C2/m (No. 12)
Unique sites:
Y 0.245 0.000 0.234
Tl 0.000 0.000 0.500
Zn 0.000 0.500 0.000

Properties
For the density of states at the Fermi level, the calculation gives 0.68 states/eV/atom. Its formation energy is -0.344 eV/atom. Its total magnetic moment is 0.0 μB/f.u. As for the crystal system: monoclinic.

=====

The following is a SCAN calculation of a crystal of Y2TlZn relaxed with PBEsol, from Alexandria via LeMat-Bulk.

abc: 5.115 5.115 3.681
angles: 90.00 90.00 90.00
Space group P4/mmm (No. 123)
Unique sites:
Y 0.000 0.500 0.000
Tl 0.000 0.000 0.500
Zn 0.500 0.500 0.500

Properties
For the density of states at the Fermi level, the calculation gives 0.78 states/eV/atom. Its formation energy is -0.533 eV/atom. Its total magnetic moment is 0.0 μB/f.u. As for the crystal system: tetragonal.

=====

The following is a SCAN calculation of a crystal of Y2TlZn relaxed with PBEsol, from Alexandria via LeMat-Bulk.

abc: 7.268 7.268 7.268
angles: 90.00 90.00 90.00
Space group Fm-3m (No. 225)
Unique sites:
Y 0.250 0.250 0.250
Tl 0.000 0.000 0.000
Zn 0.000 0.000 0.500

Properties
For the density of states at the Fermi level, the calculation gives 0.80 states/eV/atom. Its formation energy is -0.549 eV/atom. Its total magnetic moment is 0.0 μB/f.u. As for the crystal system: cubic.

=====

The following is a SCAN calculation of a crystal of YZrTl relaxed with PBEsol, from Alexandria via LeMat-Bulk.

abc: 3.440 3.440 12.614
angles: 90.00 90.00 90.00
Space group I4mm (No. 107)
Unique sites:
Y 0.000 0.000 0.000
Zr 0.000 0.000 0.676
Tl 0.000 0.000 0.329

Properties
For the density of states at the Fermi level, the calculation gives 0.59 states/eV/atom. Its formation energy is -0.244 eV/atom. Its total magnetic moment is 0.0 μB/f.u. As for the crystal system: tetragonal.

=====

The following is a SCAN calculation of a crystal of YZrTl2 relaxed with PBEsol, from Alexandria via LeMat-Bulk.

abc: 4.696 4.696 8.546
angles: 90.00 90.00 90.00
Space group I4/mmm (No. 139)
Unique sites:
Y 0.000 0.000 0.000
Zr 0.000 0.000 0.500
Tl 0.000 0.500 0.250

Properties
For the density of states at the Fermi level, the calculation gives 0.52 states/eV/atom. Its formation energy is -0.382 eV/atom. Its total magnetic moment is 1.4 μB/f.u. As for the crystal system: tetragonal.

=====

The following is a SCAN calculation of a crystal of YZrTl2 relaxed with PBEsol, from Alexandria via LeMat-Bulk.

abc: 3.318 4.276 6.640
angles: 90.00 90.00 90.00
Space group Pmmm (No. 47)
Unique sites:
Y 0.000 0.000 0.000
Zr 0.000 0.000 0.500
Tl 0.500 0.500 0.262

Properties
For the density of states at the Fermi level, the calculation gives 0.59 states/eV/atom. Its formation energy is -0.393 eV/atom. Its total magnetic moment is 0.7 μB/f.u. As for the crystal system: orthorhombic.

=====

The following is a SCAN calculation of a crystal of YZr3Tl relaxed with PBEsol, from Alexandria via LeMat-Bulk.

abc: 5.080 5.080 5.080
angles: 90.00 90.00 90.00
Space group Pm-3m (No. 221)
Unique sites:
Y 0.000 0.000 0.000
Zr 0.000 0.000 0.500
Tl 0.500 0.500 0.500

Properties
For the density of states at the Fermi level, the calculation gives 1.19 states/eV/atom. Its formation energy is 1.325 eV/atom. Its total magnetic moment is 1.9 μB/f.u. As for the crystal system: cubic.

=====

The following is a SCAN calculation of a crystal of YZrTl relaxed with PBEsol, from Alexandria via LeMat-Bulk.

abc: 5.0264 5.0264 3.4910
angles: 90.00 90.00 120.00
Space group P-6m2 (No. 187)
Unique sites:
Y 0.0000 0.0000 0.0000
Zr 0.3333 0.6667 0.5000
Tl 0.6667 0.3333 0.5000

Properties
For the density of states at the Fermi level, the calculation gives 0.76 states/eV/atom. Its formation energy is -0.120 eV/atom. Its total magnetic moment is 0.0 μB/f.u. As for the crystal system: hexagonal.